# GGA-PBE PmPr2Sm5Tm, optimized geometry
# * volume: 34.4 Å³/atom
# * DFT formation energy: 272 meV/atom
data_PmPr2Sm5Tm
_space_group_name_H-M_alt 'I 4/m c m'
_space_group_IT_number 140
_space_group_name_Hall '-I 4 2c'
_cell_length_a 8.7551
_cell_length_b 8.7551
_cell_length_c 16.1462
_cell_angle_alpha 90.00
_cell_angle_beta 90.00
_cell_angle_gamma 90.00
loop_
_atom_site_label
_atom_site_type_symbol
_atom_site_fract_x
_atom_site_fract_y
_atom_site_fract_z
Pm1 Pm 0.0000 0.0000 0.2500
Pr1 Pr 0.1193 0.3807 0.0000
Sm1 Sm 0.0000 0.0000 0.0000
Sm2 Sm 0.2134 0.2866 0.3589
Tm1 Tm 0.0000 0.5000 0.2500